[1]
First-principles (PBE) data for an optimized crystal structure of Y2HgPRh, as listed in the Alexandria database.

Geometry as POSCAR:
```
Y2HgPRh
1.0
5.582 0.000 0.000
0.000 5.582 0.000
0.000 0.000 4.646
Y Hg P Rh
2 1 1 1
direct
0.000 0.500 0.000
0.500 0.000 0.000
0.000 0.000 0.000
0.000 0.000 0.500
0.500 0.500 0.500
```

***

[2]
First-principles (PBE) data for an optimized crystal structure of Hg2PRu, as listed in the Alexandria database.

Geometry as POSCAR:
```
Hg2PRu
1.0
-1.446 1.873 7.367
1.446 -1.873 7.367
1.446 1.873 -7.367
Hg P Ru
2 1 1
direct
0.179 0.179 0.000
0.821 0.821 0.000
0.500 0.000 0.500
0.000 0.500 0.500
```

***

no.,magnetization (μB per cell),ΔE_f (meV per atom)
1,0.00,700
2,0.00,133